Below is LaTmThZr after structural relaxation, with properties calculated at the PBE level.

Cell lengths 7.813, 7.813, 7.813 Å; angles 90.00, 90.00, 90.00 degrees
Space group F-43m (No. 216)
Symmetry-distinct sites (fractional):
La  0.000  0.000  0.000 (multiplicity 4)
Tm  0.250  0.250  0.250 (multiplicity 4)
Th  0.000  0.000  0.500 (multiplicity 4)
Zr  0.250  0.250  0.750 (multiplicity 4)

## Properties
The total energy comes out at -6.193 eV/atom.

Below is La9Y2Th after structural relaxation, with properties calculated at the PBE level.

Cell lengths 5.216, 5.216, 15.636 Å; angles 90.00, 90.00, 90.00 degrees
Space group P4/mmm (No. 123)
Symmetry-distinct sites (fractional):
La  0.000  0.000  0.000 (multiplicity 1)
La  0.000  0.000  0.335 (multiplicity 2)
La  0.000  0.500  0.162 (multiplicity 4)
La  0.000  0.500  0.500 (multiplicity 2)
Y  0.500  0.500  0.334 (multiplicity 2)
Th  0.500  0.500  0.000 (multiplicity 1)

## Properties
The total energy comes out at -5.368 eV/atom.

Below is La4Y2Th after structural relaxation, with properties calculated at the PBE level.

Cell lengths 8.365, 8.365, 3.531 Å; angles 90.00, 90.00, 90.00 degrees
Space group P-42m (No. 111)
Symmetry-distinct sites (fractional):
La  0.207  0.207  0.370 (multiplicity 4)
Y  0.000  0.500  0.000 (multiplicity 2)
Th  0.500  0.500  0.500 (multiplicity 1)

## Properties
For the energy above the lowest structure with this stoichiometry, the calculation gives 0.28 eV/f.u. The total energy comes out at -5.418 eV/atom.

Below is La5Y2Th after structural relaxation, with properties calculated at the PBE level.

Cell lengths 7.356, 14.699, 5.185 Å; angles 90.00, 90.00, 90.00 degrees
Space group Pbam (No. 55)
Symmetry-distinct sites (fractional):
La  0.000  0.000  0.000 (multiplicity 2)
La  0.011  0.253  0.000 (multiplicity 4)
La  0.248  0.377  0.500 (multiplicity 4)
Y  0.238  0.620  0.500 (multiplicity 4)
Th  0.000  0.500  0.000 (multiplicity 2)

## Properties
For the energy above the lowest structure with this stoichiometry, the calculation gives 0.00 eV/f.u. The total energy comes out at -5.600 eV/atom.

Below is LaY2Th after structural relaxation, with properties calculated at the PBE level.

Cell lengths 3.6206, 3.6206, 35.2307 Å; angles 90.00, 90.00, 120.00 degrees
Space group R3m (No. 160, hexagonal axes)
Symmetry-distinct sites (fractional):
La  0.0000  0.0000  0.0000 (multiplicity 3)
Y  0.0000  0.0000  0.5790 (multiplicity 3)
Y  0.0000  0.0000  0.7532 (multiplicity 3)
Th  0.0000  0.0000  0.1661 (multiplicity 3)

## Properties
For the energy above the lowest structure with this stoichiometry, the calculation gives 0.02 eV/f.u. The total energy comes out at -6.297 eV/atom.

Below is La7Y2Th2 after structural relaxation, with properties calculated at the PBE level.

Cell lengths 8.741, 11.139, 8.406 Å; angles 90.00, 105.07, 90.00 degrees
Space group C2/m (No. 12)
Symmetry-distinct sites (fractional):
La  0.000  0.000  0.000 (multiplicity 2)
La  0.197  0.298  0.167 (multiplicity 8)
La  0.200  0.000  0.474 (multiplicity 4)
Y  0.000  0.290  0.500 (multiplicity 4)
Th  0.085  0.500  0.826 (multiplicity 4)

## Properties
For the energy above the lowest structure with this stoichiometry, the calculation gives 0.00 eV/f.u. The total energy comes out at -5.549 eV/atom.

Below is LaYTh after structural relaxation, with properties calculated at the PBE level.

Cell lengths 13.434, 3.581, 10.013 Å; angles 90.00, 120.99, 90.00 degrees
Space group C2/m (No. 12)
Symmetry-distinct sites (fractional):
La  0.136  0.000  0.020 (multiplicity 4)
Y  0.122  0.500  0.348 (multiplicity 4)
Th  0.118  0.000  0.669 (multiplicity 4)

## Properties
For the energy above the lowest structure with this stoichiometry, the calculation gives 0.21 eV/f.u. The total energy comes out at -6.176 eV/atom.

Below is La2Y6Th after structural relaxation, with properties calculated at the PBE level.

Cell lengths 3.6115, 3.6115, 26.8614 Å; angles 90.00, 90.00, 120.00 degrees
Space group P-6m2 (No. 187)
Symmetry-distinct sites (fractional):
La  0.0000  0.0000  0.1710 (multiplicity 2)
Y  0.0000  0.0000  0.3919 (multiplicity 2)
Y  0.6667  0.3333  0.0619 (multiplicity 2)
Y  0.6667  0.3333  0.2862 (multiplicity 2)
Th  0.6667  0.3333  0.5000 (multiplicity 1)

## Properties
For the energy above the lowest structure with this stoichiometry, the calculation gives 0.00 eV/f.u. The total energy comes out at -6.154 eV/atom.

Below is La4Y2Th after structural relaxation, with properties calculated at the PBE level.

Cell lengths 6.951, 11.777, 12.176 Å; angles 90.00, 90.00, 90.00 degrees
Space group Imma (No. 74)
Symmetry-distinct sites (fractional):
La  0.000  0.001  0.159 (multiplicity 8)
La  0.219  0.250  0.991 (multiplicity 8)
Y  0.000  0.000  0.500 (multiplicity 4)
Y  0.000  0.250  0.717 (multiplicity 4)
Th  0.250  0.250  0.250 (multiplicity 4)

## Properties
For the energy above the lowest structure with this stoichiometry, the calculation gives 0.00 eV/f.u. The total energy comes out at -5.458 eV/atom.

Below is La9Y4Th after structural relaxation, with properties calculated at the PBE level.

Cell lengths 10.1406, 10.1406, 11.5612 Å; angles 90.00, 90.00, 120.00 degrees
Space group P6_3/mmc (No. 194)
Symmetry-distinct sites (fractional):
La  0.0718  0.5359  0.2500 (multiplicity 6)
La  0.2084  0.4168  0.5352 (multiplicity 12)
Y  0.0000  0.0000  0.0000 (multiplicity 2)
Y  0.1099  0.2199  0.2500 (multiplicity 6)
Th  0.3333  0.6667  0.7500 (multiplicity 2)

## Properties
The total energy comes out at -5.390 eV/atom.

How do the records compare in size of the total moment? In the order shown, they have 0.00, 0.00, 0.86, 0.00, 0.00, 0.00, 0.00, 0.00, 0.00, 0.00 μB/f.u..
How do the records compare in formation energy? In the order shown, they have 0.149, 0.023, 0.304, 0.023, 0.021, 0.111, 0.094, 0.075, 0.264, 0.154 eV/atom.